! NaLi2Pd2 (meta-GGA SCAN, single point on PBEsol structure); values from VASP
&SYSTEM
  ibrav = 0, nat = 10, ntyp = 3
/
ATOMIC_SPECIES
Pd 106.42 Pd.upf
Li 6.94 Li.upf
Na 22.99 Na.upf
CELL_PARAMETERS angstrom
2.773 0.000 0.000
0.000 7.554 0.000
0.000 0.000 7.554
ATOMIC_POSITIONS crystal
Pd 0.000 0.871 0.629
Li 0.500 0.838 0.338
Li 0.500 0.338 0.162
Li 0.500 0.162 0.662
Na 0.000 0.000 0.000
Pd 0.000 0.129 0.371
Pd 0.000 0.629 0.129
Pd 0.000 0.371 0.871
Li 0.500 0.662 0.838
Na 0.000 0.500 0.500
! **Total magnetic moment**: 0.000 μB/atom
! **Crystal system**: tetragonal
! **Energy above the most stable polymorph in this dataset**: 0.000 eV/atom
! **Volume**: 158 Å³ per cell
! **Calculated formation energy**: -0.2694 eV per atom

=====

! NaLiPd2 (meta-GGA SCAN, single point on PBEsol structure); values from VASP
&SYSTEM
  ibrav = 0, nat = 4, ntyp = 3
/
ATOMIC_SPECIES
Pd 106.42 Pd.upf
Na 22.99 Na.upf
Li 6.94 Li.upf
CELL_PARAMETERS angstrom
4.404 0.000 0.000
2.202 3.814 0.000
2.202 1.271 3.595
ATOMIC_POSITIONS crystal
Pd 0.250 0.250 0.250
Pd 0.750 0.750 0.750
Na 0.500 0.500 0.500
Li 0.000 0.000 0.000
! **Total magnetic moment**: 0.000 μB/atom
! **Crystal system**: cubic
! **Volume**: 60 Å³ per cell
! **Calculated formation energy**: -0.1121 eV per atom

=====

! Na2LiPd2 (meta-GGA SCAN, single point on PBEsol structure); values from VASP
&SYSTEM
  ibrav = 0, nat = 5, ntyp = 3
/
ATOMIC_SPECIES
Pd 106.42 Pd.upf
Na 22.99 Na.upf
Li 6.94 Li.upf
CELL_PARAMETERS angstrom
-0.294 1.371 -3.547
3.224 -1.797 -0.962
-5.045 -5.240 0.443
ATOMIC_POSITIONS crystal
Pd 0.406 0.406 0.811
Na 0.250 0.750 0.500
Na 0.750 0.250 0.500
Pd 0.594 0.594 0.189
Li 0.000 0.000 0.000
! **Total magnetic moment**: 0.000 μB/atom
! **Crystal system**: tetragonal
! **Volume**: 98 Å³ per cell
! **Calculated formation energy**: 0.2099 eV per atom

=====

! NaLi2Pd2 (meta-GGA SCAN, single point on PBEsol structure); values from VASP
&SYSTEM
  ibrav = 0, nat = 5, ntyp = 3
/
ATOMIC_SPECIES
Li 6.94 Li.upf
Pd 106.42 Pd.upf
Na 22.99 Na.upf
CELL_PARAMETERS angstrom
4.498 0.000 0.000
0.000 4.498 0.000
-2.249 -2.249 4.413
ATOMIC_POSITIONS crystal
Li 0.250 0.750 0.500
Pd 0.355 0.355 0.711
Na 0.000 0.000 0.000
Pd 0.645 0.645 0.289
Li 0.750 0.250 0.500
! **Total magnetic moment**: 0.000 μB/atom
! **Crystal system**: tetragonal
! **Energy above the most stable polymorph in this dataset**: 0.192 eV/atom
! **Volume**: 89 Å³ per cell
! **Calculated formation energy**: -0.0774 eV per atom